(1)
VASP calculation (GGA-PBE) on a relaxed structure of LaTaSi2.

Cell: 3.2043 3.6235 6.7415 Å, 90.00 90.00 90.00°
Last column: nearest neighbours and their distance in Å.
Positions (direct):
1 Si 0.0000 0.0000 0.4364  1 Si 2.51, 4 Ta 2.73
2 Ta 0.5000 0.5000 0.2500  8 Si 2.73
3 Si 0.0000 0.0000 0.0636  1 Si 2.51, 4 Ta 2.73
4 La 0.5000 0.5000 0.7500  2 La 3.20, 8 Si 3.21, 2 Ta 3.37

Formation energy from raw total energies (eV/atom): -0.3427
Volume (Å³/f.u.): 78.3
Crystal system: orthorhombic
Total DFT energy (no corrections) (eV/atom): -7.25
Energy above the most stable polymorph in this dataset (eV/atom): 0.0721



(2)
VASP calculation (GGA-PBE) on a relaxed structure of ZnSnO2.

Cell: 3.1865 8.6348 11.0888 Å, 114.62 96.92 97.98°
Last column: nearest neighbours and their distance in Å.
Positions (direct):
1 O 0.2228 0.0090 0.2540  3 Zn 1.96-2.05
2 O 0.8102 0.0213 0.7627  3 Zn 1.96-2.05
3 Zn 0.6400 0.8583 0.1996  4 O 1.96-2.16
4 O 0.2485 0.7338 0.8278  2 Zn 1.99, 1 Sn 2.00
5 Sn 0.8388 0.4935 0.1378  6 O 2.00-2.21
6 Sn 0.1948 0.5367 0.8788  6 O 2.00-2.21
7 O 0.5828 0.3762 0.7690  1 Zn 2.08, 2 Sn 2.09-2.12
8 O 0.2245 0.3732 0.9876  1 Zn 2.16, 3 Sn 2.18-2.21
9 Zn 0.2059 0.1409 0.1371  3 O 1.99-2.05
10 Zn 0.3930 0.1719 0.8171  4 O 1.96-2.16
11 Zn 0.8277 0.8894 0.8795  3 O 1.99-2.05
12 Sn 0.6523 0.8545 0.5338  1 O 2.28
13 O 0.4507 0.6540 0.2476  1 Zn 2.08, 2 Sn 2.09-2.12
14 Sn 0.3802 0.1758 0.4828  1 O 2.28
15 O 0.7851 0.2964 0.1888  2 Zn 1.99, 1 Sn 2.00
16 O 0.8091 0.6570 0.0290  1 Zn 2.16, 3 Sn 2.18-2.21

Formation energy from raw total energies (eV/atom): -1.1374
Volume (Å³/f.u.): 67.3
Crystal system: triclinic
Total DFT energy (no corrections) (eV/atom): -4.94
Energy above the most stable polymorph in this dataset (eV/atom): 0.1318